A geometry-optimized Ni4IrPb structure. Source: Alexandria, functional GGA-PBE.

Cell: 6.851 6.851 6.851 Å, 90.00 90.00 90.00°
Space group F-43m (No. 216)
Unique sites:
Ni 0.124 0.124 0.376 [16 per cell]
Ir 0.250 0.250 0.750 [4 per cell]
Pb 0.000 0.000 0.000 [4 per cell]

## Properties
- crystal system = cubic
- E_form (meV per atom) = 261

***

A geometry-optimized SrScOs structure. Source: Alexandria, functional GGA-PBE.

Cell: 6.750 6.750 6.750 Å, 90.00 90.00 90.00°
Space group F-43m (No. 216)
Unique sites:
Sr 0.000 0.000 0.000 [4 per cell]
Sc 0.000 0.000 0.500 [4 per cell]
Os 0.250 0.250 0.750 [4 per cell]

## Properties
- excess energy over the best structure of this formula in the dataset (eV/atom) = 0.289
- crystal system = cubic
- E_form (meV per atom) = 427

***

A geometry-optimized K3UCo2Se6 structure. Source: Alexandria, functional GGA-PBE.

Cell: 6.593 11.406 8.034 Å, 90.00 106.06 90.00°
Space group C2/m (No. 12)
Unique sites:
K 0.000 0.000 0.000 [2 per cell]
K 0.000 0.340 0.000 [4 per cell]
U 0.000 0.500 0.500 [2 per cell]
Co 0.000 0.167 0.500 [4 per cell]
Se 0.196 0.000 0.682 [4 per cell]
Se 0.244 0.318 0.684 [8 per cell]

## Properties
- energy relative to the elements, uncorrected (meV per atom) = -764.2
- crystal system = monoclinic

***

A geometry-optimized Ti2CoAu structure. Source: Alexandria, functional GGA-PBE.

Cell: 3.921 3.921 3.890 Å, 90.00 90.00 90.00°
Space group P4/mmm (No. 123)
Unique sites:
Ti 0.000 0.500 0.000 [2 per cell]
Co 0.000 0.000 0.500 [1 per cell]
Au 0.500 0.500 0.500 [1 per cell]

## Properties
- excess energy over the best structure of this formula in the dataset (eV/atom) = 0.000
- crystal system = tetragonal
- E_form (meV per atom) = -261

***

A geometry-optimized SrMnPS2 structure. Source: Alexandria, functional GGA-PBE.

Cell: 5.476 5.476 5.674 Å, 90.00 90.00 90.00°
Space group P4/mmm (No. 123)
Unique sites:
Sr 0.000 0.000 0.000 [1 per cell]
Mn 0.500 0.500 0.500 [1 per cell]
P 0.000 0.000 0.500 [1 per cell]
S 0.000 0.500 0.000 [2 per cell]

## Properties
- excess energy over the best structure of this formula in the dataset (eV/atom) = 1.531
- energy relative to the elements, uncorrected (meV per atom) = 834.4
- crystal system = tetragonal

***

A geometry-optimized Pm2CdPd6 structure. Source: Alexandria, functional GGA-PBE.

Cell: 5.8123 5.8123 6.0584 Å, 90.00 90.00 120.00°
Space group P-3m1 (No. 164)
Unique sites:
Pm 0.3333 0.6667 0.3153 [2 per cell]
Cd 0.0000 0.0000 0.5000 [1 per cell]
Pd 0.1768 0.3536 0.8243 [6 per cell]

## Properties
- excess energy over the best structure of this formula in the dataset (eV/atom) = 0.000
- crystal system = trigonal
- E_form (meV per atom) = -643

***

A geometry-optimized Sr2InTeO8 structure. Source: Alexandria, functional GGA-PBE.

Cell: 5.739 5.865 6.202 Å, 107.21 97.78 108.26°
Space group P-1 (No. 2)
Unique sites:
Sr 0.111 0.359 0.232 [2 per cell]
In 0.500 0.000 0.500 [1 per cell]
Te 0.500 0.000 0.000 [1 per cell]
O 0.105 0.091 0.500 [2 per cell]
O 0.223 0.092 0.936 [2 per cell]
O 0.299 0.757 0.137 [2 per cell]
O 0.370 0.728 0.668 [2 per cell]

## Properties
- energy relative to the elements, uncorrected (meV per atom) = -1576.1
- crystal system = triclinic

***

A geometry-optimized VRu2Rh structure. Source: Alexandria, functional GGA-PBE.

Cell: 3.786 3.786 3.853 Å, 90.00 90.00 90.00°
Space group P4/mmm (No. 123)
Unique sites:
V 0.000 0.000 0.000 [1 per cell]
Ru 0.000 0.500 0.500 [2 per cell]
Rh 0.500 0.500 0.000 [1 per cell]

## Properties
- excess energy over the best structure of this formula in the dataset (eV/atom) = 0.000
- crystal system = tetragonal
- E_form (meV per atom) = -190

***

no.,DFT total energy (eV/atom)
1,-5.69
2,-5.99
3,-4.91
4,-6.80
5,-4.07
6,-5.26
7,-5.65
8,-8.95